Entry 1:
Entry from the Alexandria database: an optimized crystal structure of Tb2Y6Mg (GGA-PBE).

Summary:
* offset from the most stable computed form: 0.00 eV/f.u.
* formation enthalpy at 0 K: 0.026 eV per atom
* E: -5.49 eV/atom
* M_tot: 0.00 μB per cell

The structure in CIF format:
```
data_Tb2Y6Mg
_chemical_formula_sum 'Tb4 Y12 Mg2'
_cell_length_a 10.5599
_cell_length_b 10.5599
_cell_length_c 5.0617
_cell_angle_alpha 90.00
_cell_angle_beta 90.00
_cell_angle_gamma 90.00
_symmetry_space_group_name_H-M 'P 42/m n m'
_symmetry_Int_Tables_number 136
_symmetry_space_group_name_Hall '-P 4n 2n'
loop_
_atom_site_label
_atom_site_fract_x
_atom_site_fract_y
_atom_site_fract_z
_atom_site_occupancy
Tb1 0.1680 0.1680 0.0000 1
Y1 0.0013 0.3323 0.5000 1
Y2 0.1645 0.8355 0.0000 1
Mg1 0.0000 0.0000 0.5000 1
```


Entry 2:
Entry from the Alexandria database: an optimized crystal structure of Tb12Y6Mg (GGA-PBE).

Summary:
* offset from the most stable computed form: 0.00 eV/f.u.
* formation enthalpy at 0 K: 0.132 eV per atom
* E: -4.92 eV/atom
* M_tot: 0.00 μB per cell

The structure in CIF format:
```
data_Tb12Y6Mg
_chemical_formula_sum 'Tb36 Y18 Mg3'
_cell_length_a 12.9854
_cell_length_b 12.9854
_cell_length_c 12.8149
_cell_angle_alpha 90.00
_cell_angle_beta 90.00
_cell_angle_gamma 120.00
_symmetry_space_group_name_H-M 'R -3 m'
_symmetry_Int_Tables_number 166
_symmetry_space_group_name_Hall '-R 3 2"'
loop_
_atom_site_label
_atom_site_fract_x
_atom_site_fract_y
_atom_site_fract_z
_atom_site_occupancy
Tb1 0.0000 0.2613 0.0000 1
Tb2 0.0534 0.5267 0.1141 1
Y1 0.0906 0.1812 0.7717 1
Mg1 0.0000 0.0000 0.0000 1
```


Entry 3:
Entry from the Alexandria database: an optimized crystal structure of Tb7Y3Mg (GGA-PBE).

Summary:
* formation enthalpy at 0 K: 0.193 eV per atom
* E: -4.66 eV/atom
* M_tot: 0.00 μB per cell

The structure in CIF format:
```
data_Tb7Y3Mg
_chemical_formula_sum 'Tb7 Y3 Mg1'
_cell_length_a 7.0037
_cell_length_b 7.0037
_cell_length_c 8.5861
_cell_angle_alpha 90.00
_cell_angle_beta 90.00
_cell_angle_gamma 120.00
_symmetry_space_group_name_H-M 'P 3 m 1'
_symmetry_Int_Tables_number 156
loop_
_symmetry_equiv_pos_as_xyz
'x,y,z'
'-y,x-y,z'
'-x+y,-x,z'
'-y,-x,z'
'-x+y,y,z'
'x,x-y,z'
loop_
_atom_site_label
_atom_site_fract_x
_atom_site_fract_y
_atom_site_fract_z
_atom_site_occupancy
Tb1 0.0000 0.0000 0.0000 1
Tb2 0.1638 0.3275 0.3286 1
Tb3 0.5003 0.0007 0.0020 1
Y1 0.3308 0.1654 0.6668 1
Mg1 0.6667 0.3333 0.3298 1
```


Entry 4:
Entry from the Alexandria database: an optimized crystal structure of Tb2YMg2 (GGA-PBE).

Summary:
* offset from the most stable computed form: 0.00 eV/f.u.
* formation enthalpy at 0 K: -0.078 eV per atom
* E: -3.86 eV/atom
* M_tot: 0.00 μB per cell

The structure in CIF format:
```
data_Tb2YMg2
_chemical_formula_sum 'Tb8 Y4 Mg8'
_cell_length_a 3.7482
_cell_length_b 27.9369
_cell_length_c 5.4340
_cell_angle_alpha 90.00
_cell_angle_beta 90.00
_cell_angle_gamma 90.00
_symmetry_space_group_name_H-M 'C m c m'
_symmetry_Int_Tables_number 63
_symmetry_space_group_name_Hall '-C 2c 2'
loop_
_atom_site_label
_atom_site_fract_x
_atom_site_fract_y
_atom_site_fract_z
_atom_site_occupancy
Tb1 0.0000 0.0441 0.2500 1
Tb2 0.0000 0.2370 0.2500 1
Y1 0.0000 0.1508 0.7500 1
Mg1 0.0000 0.3601 0.7500 1
Mg2 0.0000 0.4464 0.2500 1
```